Arrangement a

DFT (PBE) results for a relaxed structure of V6H3N.

Spin magnetization (Bohr magnetons per cell): 0.0

a = 8.2680 Å, b = 11.2167 Å, c = 4.2457 Å
α = 90.00°, β = 90.00°, γ = 90.00°
Space group Cmc2_1 (No. 36)
One atom of each set of equivalent atoms:
V 0.0000 0.0553 0.0000 [4 per cell]
V 0.0000 0.2141 0.5086 [4 per cell]
V 0.1607 0.4407 0.5189 [8 per cell]
V 0.1977 0.3009 0.0178 [8 per cell]
H 0.0000 0.4554 0.8378 [4 per cell]
H 0.1792 0.0559 0.6841 [8 per cell]
N 0.0000 0.2244 0.0126 [4 per cell]

***

Arrangement b

DFT (PBE) results for a relaxed structure of V6H3N.

Spin magnetization (Bohr magnetons per cell): 0.0

a = 4.5249 Å, b = 5.4085 Å, c = 8.7485 Å
α = 90.00°, β = 118.04°, γ = 90.00°
Space group P2_1/c (No. 14)
One atom of each set of equivalent atoms:
V 0.0027 0.0001 0.2625 [4 per cell]
V 0.2721 0.1944 0.0663 [4 per cell]
V 0.3935 0.7050 0.0981 [4 per cell]
H 0.2943 0.7465 0.7767 [4 per cell]
H 0.5000 0.0000 0.0000 [2 per cell]
N 0.0000 0.0000 0.5000 [2 per cell]

***

Stability, highest: arrangement b

***

Arrangement a

DFT (PBE) results for a relaxed structure of VHN.

Spin magnetization (Bohr magnetons per cell): 4.0

a = 4.5697 Å, b = 4.5697 Å, c = 4.5697 Å
α = 90.00°, β = 90.00°, γ = 90.00°
Space group F-43m (No. 216)
One atom of each set of equivalent atoms:
V 0.0000 0.0000 0.0000 [4 per cell]
H 0.2500 0.2500 0.7500 [4 per cell]
N 0.2500 0.2500 0.2500 [4 per cell]

***

Arrangement b

DFT (PBE) results for a relaxed structure of VHN.

Spin magnetization (Bohr magnetons per cell): 1.1

a = 2.7111 Å, b = 2.7111 Å, c = 5.7313 Å
α = 90.00°, β = 90.00°, γ = 90.00°
Space group I4mm (No. 107)
One atom of each set of equivalent atoms:
V 0.0000 0.0000 0.0000 [2 per cell]
H 0.0000 0.0000 0.3265 [2 per cell]
N 0.0000 0.0000 0.6426 [2 per cell]

***

Stability, highest: arrangement a